Entry from Alexandria via LeMat-Bulk: a geometry-optimized K3TiI6 structure (PBE).

abc: 8.2325 8.7764 14.4559
angles: 90.00 124.07 90.00
Fractional coordinates of all 20 atoms:
K: 0.0000 0.0000 0.0000
K: 0.0000 0.5000 0.5000
K: 0.2891 0.0894 0.7552
K: 0.2891 0.4106 0.2552
K: 0.7109 0.5894 0.7448
K: 0.7109 0.9106 0.2448
Ti: 0.5000 0.0000 0.5000
Ti: 0.5000 0.5000 0.0000
I: 0.1591 0.0337 0.2800
I: 0.1591 0.4663 0.7800
I: 0.2770 0.6673 0.0599
I: 0.2770 0.8327 0.5599
I: 0.4058 0.2234 0.0632
I: 0.4058 0.2766 0.5632
I: 0.5942 0.7234 0.4368
I: 0.5942 0.7766 0.9368
I: 0.7230 0.1673 0.4401
I: 0.7230 0.3327 0.9401
I: 0.8409 0.5337 0.2200
I: 0.8409 0.9663 0.7200

The value obtained for the density of states at the Fermi level is 0.681 states/eV/atom. The mass density comes out at 3.56 g/cm³. The calculation puts the total DFT energy (no corrections) at -64.1 eV/cell. Its space-group type is No. 14.

***

Entry from Alexandria via LeMat-Bulk: a geometry-optimized SrV4 structure (PBE).

abc: 4.5397 4.5397 4.5397
angles: 90.00 90.00 90.00
Fractional coordinates of all 5 atoms:
Sr: 0.0000 0.0000 0.0000
V: 0.0000 0.0000 0.5000
V: 0.0000 0.5000 0.0000
V: 0.5000 0.0000 0.0000
V: 0.5000 0.5000 0.5000

For the formation energy, the calculation gives 2.517 eV per atom. The value obtained for the density of states at the Fermi level is 1.614 states/eV/atom. The mass density comes out at 5.17 g/cm³. Its space-group type is No. 221.

***

Entry from Alexandria via LeMat-Bulk: a geometry-optimized LiSmHoCd structure (PBE).

abc: 5.2984 5.2984 5.2984
angles: 60.00 60.00 60.00
Fractional coordinates of all 4 atoms:
Li: 0.0000 0.0000 0.0000
Sm: 0.2500 0.2500 0.2500
Ho: 0.7500 0.7500 0.7500
Cd: 0.5000 0.5000 0.5000

For the formation energy, the calculation gives -0.114 eV per atom. The value obtained for the density of states at the Fermi level is 1.358 states/eV/atom. The mass density comes out at 6.86 g/cm³. Its space-group type is No. 216.

***

Entry from Alexandria via LeMat-Bulk: a geometry-optimized Ca2MgIr structure (PBE).

abc: 4.4507 5.8881 5.8881
angles: 42.74 90.00 90.00
Fractional coordinates of all 4 atoms:
Ca: 0.0000 0.0000 0.0000
Ca: 0.5000 0.2833 0.2833
Mg: 0.0000 0.6994 0.6994
Ir: 0.5000 0.5779 0.5779

For the formation energy, the calculation gives -0.173 eV per atom. The value obtained for the density of states at the Fermi level is 0.602 states/eV/atom. The mass density comes out at 4.70 g/cm³. Its space-group type is No. 38.